Entry 1:
Computed, not measured: an optimized crystal structure of Hf4GePC2 at the PBE level of DFT.

Results
Electronic total energy   -9.504 eV per atom
Spin magnetization   0.00 μB/atom

Cell: 3.3590 3.3590 12.7831 Å, 90.00 90.00 120.00°
Closest atoms and distances in Å follow each position.
Space group P-6m2 (No. 187)
Asymmetric unit:
Hf 0.0000 0.0000 0.1388 [2 per cell]  3 C 2.32
Hf 0.3333 0.6667 0.3343 [2 per cell]  3 C 2.29
Ge 0.0000 0.0000 0.5000 [1 per cell]  6 Hf 2.87
P 0.3333 0.6667 0.0000 [1 per cell]  6 Hf 2.63
C 0.6667 0.3333 0.2389 [2 per cell]  6 Hf 2.29-2.32

=====

Entry 2:
Computed, not measured: an optimized crystal structure of Hf4GePC2 at the PBE level of DFT.

Results
Electronic total energy   -9.504 eV per atom
Spin magnetization   0.00 μB/atom

Cell: 3.3590 3.3590 12.7830 Å, 90.00 90.00 120.00°
Closest atoms and distances in Å follow each position.
Space group P-6m2 (No. 187)
Asymmetric unit:
Hf 0.0000 0.0000 0.1388 [2 per cell]  3 C 2.32
Hf 0.6667 0.3333 0.3343 [2 per cell]  3 C 2.29
Ge 0.0000 0.0000 0.5000 [1 per cell]  6 Hf 2.87
P 0.6667 0.3333 0.0000 [1 per cell]  6 Hf 2.63
C 0.3333 0.6667 0.2390 [2 per cell]  6 Hf 2.29-2.32

=====

Entry 3:
Computed, not measured: an optimized crystal structure of Hf4GePbC2 at the PBE level of DFT.

Results
Electronic total energy   -9.048 eV per atom
Spin magnetization   0.00 μB/atom

Cell: 3.3354 3.3354 14.1426 Å, 90.00 90.00 120.00°
Closest atoms and distances in Å follow each position.
Space group P-6m2 (No. 187)
Asymmetric unit:
Hf 0.0000 0.0000 0.1504 [2 per cell]  3 C 2.29
Hf 0.6667 0.3333 0.3242 [2 per cell]  3 C 2.27
Ge 0.6667 0.3333 0.0000 [1 per cell]  6 Hf 2.87
Pb 0.0000 0.0000 0.5000 [1 per cell]  6 Hf 3.14, 6 Pb 3.34
C 0.3333 0.6667 0.2386 [2 per cell]  6 Hf 2.27-2.29

=====

Entry 4:
Computed, not measured: an optimized crystal structure of Hf4GeC2S at the PBE level of DFT.

Results
Electronic total energy   -9.455 eV per atom
Spin magnetization   0.00 μB/atom

Cell: 3.3355 3.3355 12.8422 Å, 90.00 90.00 120.00°
Closest atoms and distances in Å follow each position.
Space group P-6m2 (No. 187)
Asymmetric unit:
Hf 0.0000 0.0000 0.1416 [2 per cell]  3 C 2.29
Hf 0.3333 0.6667 0.3334 [2 per cell]  3 C 2.28
Ge 0.0000 0.0000 0.5000 [1 per cell]  6 Hf 2.88
C 0.6667 0.3333 0.2379 [2 per cell]  6 Hf 2.28-2.29
S 0.3333 0.6667 0.0000 [1 per cell]  6 Hf 2.65

=====

Entry 5:
Computed, not measured: an optimized crystal structure of Hf2Ge3W4C3 at the PBE level of DFT.

Results
Electronic total energy   -9.673 eV per atom
Spin magnetization   0.00 μB/atom

Cell: 9.5798 5.5622 13.1579 Å, 90.00 103.90 90.00°
Closest atoms and distances in Å follow each position.
Space group C2/c (No. 15)
Asymmetric unit:
Hf 0.0489 0.0834 0.3947 [8 per cell]  3 C 2.27-2.28
Ge 0.0000 0.4599 0.2500 [4 per cell]  4 W 2.74-2.76, 2 Hf 2.79, 4 Ge 3.00-3.03
Ge 0.1881 0.1039 0.7486 [8 per cell]  4 W 2.72-2.78, 2 Hf 2.78-2.79, 4 Ge 3.00-3.03
W 0.1099 0.4133 0.5833 [8 per cell]  3 C 2.11-2.17
W 0.2245 0.4177 0.9168 [8 per cell]  3 C 2.12-2.17
C 0.0819 0.2459 0.9998 [8 per cell]  4 W 2.11-2.17, 2 Hf 2.27
C 0.2500 0.2500 0.5000 [4 per cell]  4 W 2.13, 2 Hf 2.28

=====

Entry 6:
Computed, not measured: an optimized crystal structure of Y4Hf2Ge3C3 at the PBE level of DFT.

Results
Electronic total energy   -7.955 eV per atom
Spin magnetization   0.00 μB/atom

Cell: 10.4997 6.0770 14.7298 Å, 90.00 104.14 90.00°
Closest atoms and distances in Å follow each position.
Space group C2/c (No. 15)
Asymmetric unit:
Y 0.1172 0.0769 0.1006 [8 per cell]  3 C 2.50-2.54
Y 0.2127 0.0872 0.3993 [8 per cell]  3 C 2.50-2.54
Hf 0.0606 0.4133 0.9217 [8 per cell]  3 C 2.24-2.27
Ge 0.0000 0.1609 0.7500 [4 per cell]  2 Ge 2.71, 2 Hf 2.89
Ge 0.1283 0.4526 0.2486 [8 per cell]  2 Ge 2.70-2.71, 2 Hf 2.91-2.93
C 0.0775 0.2676 0.5001 [8 per cell]  2 Hf 2.24, 2 Y 2.50
C 0.2500 0.2500 0.0000 [4 per cell]  2 Hf 2.27, 4 Y 2.50